No. 1
Density functional theory data (GGA-PBE) for a relaxed structure of SrB12H12O8.

Cell: 8.6256 8.6256 16.0739 Å, 90.00 90.00 120.00°
Space group R-3 (No. 148, hexagonal axes)
Unique sites:
Sr1 0.0000 0.0000 0.0000 [3 per cell]
B1 0.0595 0.1348 0.4145 [18 per cell]
B2 0.0989 0.5370 0.1899 [18 per cell]
H1 0.0517 0.9269 0.1841 [18 per cell]
H2 0.0988 0.2279 0.3552 [18 per cell]
O1 0.0000 0.0000 0.2146 [6 per cell]
O2 0.0722 0.5560 0.7862 [18 per cell]

Calculated values
E: -564.13 eV/cell
E above lowest polymorph: 0.0 meV per atom

---

No. 2
Density functional theory data (GGA-PBE) for a relaxed structure of TbBH2O4.

Cell: 4.014 5.402 5.965 Å, 90.00 90.00 90.00°
Space group I222 (No. 23)
Unique sites:
Tb1 0.000 0.000 0.000 [2 per cell]
B1 0.000 0.000 0.500 [2 per cell]
H1 0.000 0.500 0.151 [4 per cell]
O1 0.240 0.135 0.350 [8 per cell]

Calculated values
E: -109.75 eV/cell

---

No. 3
Density functional theory data (GGA-PBE) for a relaxed structure of TmBH2O4.

Cell: 4.013 5.304 5.828 Å, 90.00 90.00 90.00°
Space group I222 (No. 23)
Unique sites:
Tm1 0.000 0.000 0.000 [2 per cell]
B1 0.000 0.000 0.500 [2 per cell]
H1 0.000 0.500 0.154 [4 per cell]
O1 0.240 0.137 0.347 [8 per cell]

Calculated values
E: -109.66 eV/cell

---

No. 4
Density functional theory data (GGA-PBE) for a relaxed structure of UBH2O6.

Cell: 4.346 5.547 5.713 Å, 106.05 109.61 91.56°
Space group P1 (No. 1)
Unique sites:
U1 0.000 0.000 0.000 [1 per cell]
B1 0.379 0.562 0.620 [1 per cell]
H1 0.068 0.269 0.548 [1 per cell]
H2 0.561 0.347 0.090 [1 per cell]
O1 0.015 0.797 0.201 [1 per cell]
O2 0.210 0.327 0.462 [1 per cell]
O3 0.306 0.699 0.830 [1 per cell]
O4 0.564 0.176 0.107 [1 per cell]
O5 0.638 0.694 0.610 [1 per cell]
O6 0.945 0.206 0.793 [1 per cell]

Calculated values
E: -73.96 eV/cell

---

No. 5
Density functional theory data (GGA-PBE) for a relaxed structure of YB6H3O12.

Cell: 8.5305 8.5305 20.6070 Å, 90.00 90.00 120.00°
Space group R3c (No. 161, hexagonal axes)
Unique sites:
Y1 0.0000 0.0000 0.0000 [6 per cell]
B1 0.0096 0.2430 0.3656 [18 per cell]
B2 0.0432 0.3727 0.5831 [18 per cell]
H1 0.2063 0.4218 0.7803 [18 per cell]
O1 0.0034 0.4714 0.5322 [18 per cell]
O2 0.0123 0.4230 0.6485 [18 per cell]
O3 0.1572 0.4322 0.2403 [18 per cell]
O4 0.1997 0.4441 0.0837 [18 per cell]

Calculated values
E: -1003.11 eV/cell

---

No. 6
Density functional theory data (GGA-PBE) for a relaxed structure of Zn8B3H3O14.

Cell: 8.2564 8.2564 17.8441 Å, 90.00 90.00 120.00°
Space group R32 (No. 155, hexagonal axes)
Unique sites:
Zn1 0.0000 0.0000 0.0919 [6 per cell]
Zn2 0.0219 0.7921 0.2483 [18 per cell]
B1 0.0000 0.2979 0.0000 [9 per cell]
H1 0.0000 0.8579 0.5000 [9 per cell]
O1 0.0000 0.0000 0.2039 [6 per cell]
O2 0.0000 0.4671 0.0000 [9 per cell]
O3 0.0000 0.7410 0.5000 [9 per cell]
O4 0.0701 0.5005 0.6117 [18 per cell]

Calculated values
E: -466.49 eV/cell

---

No. 7
Density functional theory data (GGA-PBE) for a relaxed structure of ZnB3H3O7.

Cell: 6.929 9.905 8.713 Å, 90.00 121.54 90.00°
Space group P2_1/c (No. 14)
Unique sites:
Zn1 0.218 0.214 0.147 [4 per cell]
B1 0.112 0.663 0.217 [4 per cell]
B2 0.235 0.671 0.987 [4 per cell]
B3 0.421 0.510 0.249 [4 per cell]
H1 0.213 0.077 0.393 [4 per cell]
H2 0.303 0.024 0.976 [4 per cell]
H3 0.436 0.659 0.791 [4 per cell]
O1 0.080 0.708 0.036 [4 per cell]
O2 0.121 0.152 0.315 [4 per cell]
O3 0.229 0.724 0.840 [4 per cell]
O4 0.233 0.536 0.273 [4 per cell]
O5 0.355 0.061 0.100 [4 per cell]
O6 0.393 0.574 0.085 [4 per cell]
O7 0.445 0.139 0.737 [4 per cell]

Calculated values
E: -368.64 eV/cell

---

No. 8
Density functional theory data (GGA-PBE) for a relaxed structure of B3HOs.

Cell: 3.309 3.309 3.309 Å, 90.00 90.00 90.00°
Space group Pm-3m (No. 221)
Unique sites:
B1 0.000 0.000 0.500 [3 per cell]
H1 0.000 0.000 0.000 [1 per cell]
Os1 0.500 0.500 0.500 [1 per cell]

Calculated values
E: -28.73 eV/cell
E above lowest polymorph: 0.0 meV per atom